Material: Ba2Tl3Cd4Ag
Method: DFT, PBE-GGA
State: relaxed

Properties
symmetry: P-4m2
formation enthalpy at 0 K: -2.28 eV per formula unit
M_tot: 0.0 μB per cell

Geometry as POSCAR:
```
Ba2Tl3Cd4Ag
1.0
-2.232 3.366 2.985
-3.005 1.364 -3.785
-8.060 -8.348 3.389
Ba Cd Ag Tl
2 4 1 3
Direct
0.000 0.500 0.745
0.500 0.000 0.255
0.000 0.000 0.000
0.500 0.500 0.000
0.000 0.500 0.378
0.500 0.000 0.622
0.500 0.500 0.500
0.500 0.000 0.862
0.000 0.500 0.138
0.000 0.000 0.500
```



Material: K3PaF8
Method: DFT, PBE-GGA
State: relaxed

Properties
ΔE_f (raw): -3.43 eV/atom
symmetry: I4/mmm
M_tot: 0.0 μB per cell

Geometry as POSCAR:
```
K3PaF8
1.0
5.495 0.000 -2.458
-1.100 5.383 -2.458
-0.022 -0.027 7.321
F K Pa
8 3 1
Direct
0.322 0.894 0.217
0.678 0.678 0.783
0.894 0.894 0.217
0.322 0.322 0.217
0.106 0.106 0.783
0.678 0.106 0.783
0.894 0.322 0.217
0.106 0.678 0.783
0.500 0.500 0.000
0.250 0.750 0.500
0.750 0.250 0.500
0.000 0.000 0.000
```



Material: Hf12Sn6Rh
Method: DFT, PBE-GGA
State: relaxed

Properties
symmetry: R-3
formation enthalpy at 0 K: -3.64 eV per formula unit
M_tot: 0.0 μB per cell

Geometry as POSCAR:
```
Hf12Sn6Rh
1.0
-5.978 2.076 -3.904
-4.267 -1.313 5.947
1.052 7.015 2.231
Hf Sn Rh
12 6 1
Direct
0.944 0.858 0.625
0.559 0.196 0.480
0.142 0.375 0.056
0.480 0.559 0.196
0.625 0.944 0.858
0.056 0.142 0.375
0.441 0.804 0.520
0.375 0.056 0.142
0.804 0.520 0.441
0.520 0.441 0.804
0.858 0.625 0.944
0.196 0.480 0.559
0.729 0.877 0.259
0.123 0.741 0.271
0.271 0.123 0.741
0.741 0.271 0.123
0.877 0.259 0.729
0.259 0.729 0.877
0.000 0.000 0.000
```



Material: Ta2PdRhAu
Method: DFT, PBE-GGA
State: relaxed

Properties
symmetry: P4/mmm
formation enthalpy at 0 K: 8.37 eV per formula unit
M_tot: 0.0 μB per cell

Geometry as POSCAR:
```
Ta2PdRhAu
1.0
4.860 0.000 0.000
0.000 4.818 0.000
0.000 0.000 4.860
Ta Pd Rh Au
2 1 1 1
Direct
0.000 0.000 0.500
0.500 0.000 0.000
0.000 0.500 0.000
0.500 0.500 0.500
0.000 0.000 0.000
```



Material: VCrFeTc
Method: DFT, PBE-GGA
State: relaxed

Properties
symmetry: F-43m
formation enthalpy at 0 K: -0.20 eV per formula unit
M_tot: 1.8 μB per cell

Geometry as POSCAR:
```
VCrFeTc
1.0
4.154 0.000 0.000
2.077 3.598 0.000
2.077 1.199 3.392
Tc V Fe Cr
1 1 1 1
Direct
0.500 0.500 0.500
0.250 0.250 0.250
0.000 0.000 0.000
0.750 0.750 0.750
```



Material: CuTc2Mo
Method: DFT, PBE-GGA
State: relaxed

Properties
symmetry: I-42d
excess energy over the best structure of this formula in the dataset: 632.7 meV/atom
formation enthalpy at 0 K: 3.12 eV per formula unit
M_tot: 0.0 μB per cell

Geometry as POSCAR:
```
CuTc2Mo
1.0
6.938 0.000 0.000
0.000 6.938 0.000
3.469 3.469 2.626
Mo Cu Tc
2 2 4
Direct
0.000 0.000 0.000
0.750 0.250 0.500
0.250 0.750 0.500
0.500 0.500 0.000
0.875 0.890 0.750
0.375 0.360 0.750
0.640 0.125 0.250
0.110 0.625 0.250
```